1.
Entry from Alexandria via LeMat-Bulk: Ta2CdRe2 after structural relaxation (GGA-PBE).

a = 7.7267 Å, b = 7.7267 Å, c = 3.0595 Å
α = 90.00°, β = 90.00°, γ = 90.00°
Last column: nearest neighbours and their distance in Å.
Fractional positions:
Re: 0.3560 0.8560 0.0000  6 Ta 2.72-2.74, 2 Cd 2.97
Re: 0.8560 0.6440 0.0000  6 Ta 2.72-2.74, 2 Cd 2.97
Re: 0.6440 0.1440 0.0000  6 Ta 2.72-2.74, 2 Cd 2.97
Re: 0.1440 0.3560 0.0000  6 Ta 2.72-2.74, 2 Cd 2.97
Cd: 0.0000 0.0000 0.0000  4 Re 2.97, 2 Cd 3.06, 8 Ta 3.32
Cd: 0.5000 0.5000 0.0000  4 Re 2.97, 2 Cd 3.06, 8 Ta 3.32
Ta: 0.1503 0.6503 0.5000  6 Re 2.72-2.74
Ta: 0.6503 0.8497 0.5000  6 Re 2.72-2.74
Ta: 0.8497 0.3497 0.5000  6 Re 2.72-2.74
Ta: 0.3497 0.1503 0.5000  6 Re 2.72-2.74

## Properties
* SG: No. 127
* ρ: 15.39 g/cm3
* energy: -96.4 eV for the cell shown

2.
Entry from Alexandria via LeMat-Bulk: TaCd2Re after structural relaxation (GGA-PBE).

a = 7.7034 Å, b = 7.7034 Å, c = 6.0773 Å
α = 50.67°, β = 50.67°, γ = 90.00°
Last column: nearest neighbours and their distance in Å.
Fractional positions:
Re: 0.0000 0.0000 0.0000  2 Ta 2.69, 4 Cd 2.74
Re: 0.7500 0.2500 0.5000  2 Ta 2.69, 4 Cd 2.74
Cd: 0.6368 0.1250 0.2500  2 Cd 2.70, 2 Re 2.74, 2 Ta 2.87
Cd: 0.1132 0.6250 0.2500  2 Cd 2.70, 2 Re 2.74, 2 Ta 2.87
Cd: 0.3750 0.3632 0.7500  2 Cd 2.70, 2 Re 2.74, 2 Ta 2.87
Cd: 0.8750 0.8868 0.7500  2 Cd 2.70, 2 Re 2.74, 2 Ta 2.87
Ta: 0.5000 0.5000 0.0000  2 Re 2.69, 4 Cd 2.87
Ta: 0.2500 0.7500 0.5000  2 Re 2.69, 4 Cd 2.87

## Properties
* SG: No. 122
* ρ: 12.29 g/cm3
* energy: -43.2 eV for the cell shown

3.
Entry from Alexandria via LeMat-Bulk: Ta2CdRe after structural relaxation (GGA-PBE).

a = 5.6953 Å, b = 5.3848 Å, c = 2.7752 Å
α = 82.11°, β = 76.83°, γ = 118.04°
Last column: nearest neighbours and their distance in Å.
Fractional positions:
Re: 0.5000 0.5000 0.0000  2 Re 2.78, 4 Ta 2.85, 2 Cd 2.87
Cd: 0.0000 0.5000 0.5000  2 Cd 2.78, 4 Ta 2.85, 2 Re 2.87
Ta: 0.0000 0.0000 0.0000  4 Ta 2.78-2.87, 2 Re 2.85, 2 Cd 2.85
Ta: 0.5000 0.0000 0.5000  4 Ta 2.78-2.87, 2 Cd 2.85, 2 Re 2.85

## Properties
* SG: No. 12
* ρ: 15.64 g/cm3
* energy: -36.1 eV for the cell shown

4.
Entry from Alexandria via LeMat-Bulk: TaCdRe2 after structural relaxation (GGA-PBE).

a = 4.9952 Å, b = 4.9952 Å, c = 4.9952 Å
α = 132.47°, β = 132.47°, γ = 69.49°
Last column: nearest neighbours and their distance in Å.
Fractional positions:
Re: 0.0000 0.0000 0.0000  4 Ta 2.85, 4 Cd 2.87, 4 Re 2.87
Re: 0.2500 0.7500 0.5000  4 Cd 2.85, 4 Ta 2.87, 4 Re 2.87
Cd: 0.7500 0.2500 0.5000  8 Re 2.85-2.87, 4 Ta 2.87
Ta: 0.5000 0.5000 0.0000  8 Re 2.85-2.87, 4 Cd 2.87

## Properties
* SG: No. 119
* ρ: 16.62 g/cm3
* energy: -36.0 eV for the cell shown

5.
Entry from Alexandria via LeMat-Bulk: TaCd2Re after structural relaxation (GGA-PBE).

a = 5.6346 Å, b = 5.6346 Å, c = 2.7942 Å
α = 81.48°, β = 81.48°, γ = 120.95°
Last column: nearest neighbours and their distance in Å.
Fractional positions:
Re: 0.5000 0.0000 0.5000  2 Ta 2.78, 2 Re 2.79, 4 Cd 2.95
Cd: 0.0000 0.0000 0.0000  4 Cd 2.78-2.79, 2 Ta 2.95, 2 Re 2.95
Cd: 0.5000 0.5000 0.0000  4 Cd 2.78-2.79, 2 Re 2.95, 2 Ta 2.95
Ta: 0.0000 0.5000 0.5000  2 Re 2.78, 2 Ta 2.79, 4 Cd 2.95

## Properties
* SG: No. 12
* ρ: 13.55 g/cm3
* energy: -24.2 eV for the cell shown

6.
Entry from Alexandria via LeMat-Bulk: TaCdRe2 after structural relaxation (GGA-PBE).

a = 5.3780 Å, b = 5.3780 Å, c = 5.3780 Å
α = 145.53°, β = 128.96°, γ = 63.06°
Last column: nearest neighbours and their distance in Å.
Fractional positions:
Re: 0.9845 0.9845 0.0000  2 Ta 2.68, 4 Re 2.83, 2 Cd 2.91
Re: 0.5155 0.5155 0.0000  2 Ta 2.68, 4 Re 2.83, 2 Cd 2.91
Cd: 0.2500 0.7500 0.5000  4 Ta 2.81, 4 Re 2.91
Ta: 0.7500 0.2500 0.5000  4 Re 2.68, 4 Cd 2.81

## Properties
* SG: No. 71
* ρ: 16.33 g/cm3
* energy: -36.2 eV for the cell shown

7.
Entry from Alexandria via LeMat-Bulk: Ta2CdRe after structural relaxation (GGA-PBE).

a = 4.6374 Å, b = 4.6374 Å, c = 4.6374 Å
α = 60.00°, β = 60.00°, γ = 60.00°
Last column: nearest neighbours and their distance in Å.
Fractional positions:
Re: 0.7500 0.7500 0.7500  4 Cd 2.84, 4 Ta 2.84
Cd: 0.5000 0.5000 0.5000  4 Ta 2.84, 4 Re 2.84
Ta: 0.0000 0.0000 0.0000  4 Ta 2.84, 4 Re 2.84
Ta: 0.2500 0.2500 0.2500  4 Cd 2.84, 4 Ta 2.84

## Properties
* SG: No. 216
* ρ: 15.55 g/cm3
* energy: -35.5 eV for the cell shown

8.
Entry from Alexandria via LeMat-Bulk: TaCd2Re after structural relaxation (GGA-PBE).

a = 4.6597 Å, b = 4.6597 Å, c = 4.6597 Å
α = 60.00°, β = 60.00°, γ = 60.00°
Last column: nearest neighbours and their distance in Å.
Fractional positions:
Re: 0.5000 0.5000 0.5000  8 Cd 2.85
Cd: 0.2500 0.2500 0.2500  4 Ta 2.85, 4 Re 2.85
Cd: 0.7500 0.7500 0.7500  4 Ta 2.85, 4 Re 2.85
Ta: 0.0000 0.0000 0.0000  8 Cd 2.85

## Properties
* SG: No. 225
* ρ: 13.74 g/cm3
* energy: -22.8 eV for the cell shown

9.
Entry from Alexandria via LeMat-Bulk: TaCdRe2 after structural relaxation (GGA-PBE).

a = 2.7844 Å, b = 2.7844 Å, c = 9.3811 Å
α = 90.00°, β = 90.00°, γ = 110.12°
Last column: nearest neighbours and their distance in Å.
Fractional positions:
Re: 0.0000 0.0000 0.0200  6 Re 2.64-2.78, 2 Cd 2.96
Re: 0.5000 0.5000 0.2448  6 Re 2.64-2.78, 2 Ta 2.73
Cd: 0.5000 0.5000 0.7546  4 Cd 2.78, 2 Re 2.96, 2 Ta 3.02
Ta: 0.0000 0.0000 0.4806  2 Re 2.73, 4 Ta 2.78, 2 Cd 3.02

## Properties
* SG: No. 35
* ρ: 16.19 g/cm3
* energy: -36.4 eV for the cell shown

10.
Entry from Alexandria via LeMat-Bulk: Ta2CdRe after structural relaxation (GGA-PBE).

a = 4.3697 Å, b = 2.8398 Å, c = 5.9944 Å
α = 73.08°, β = 90.00°, γ = 90.00°
Last column: nearest neighbours and their distance in Å.
Fractional positions:
Re: 0.5000 0.7500 0.7500  4 Ta 2.74, 2 Re 2.84, 2 Cd 2.92
Cd: 0.5000 0.2500 0.2500  2 Cd 2.84, 2 Re 2.92, 8 Ta 2.98-3.10
Ta: 0.0000 0.9636 0.9779  2 Re 2.74, 3 Ta 2.74-2.84, 2 Cd 2.98
Ta: 0.0000 0.5364 0.5221  2 Re 2.74, 3 Ta 2.74-2.84, 2 Cd 2.98

## Properties
* SG: No. 10
* ρ: 15.41 g/cm3
* energy: -36.4 eV for the cell shown

11.
Entry from Alexandria via LeMat-Bulk: TaCdRe2 after structural relaxation (GGA-PBE).

a = 5.0802 Å, b = 5.0802 Å, c = 4.7789 Å
α = 72.61°, β = 72.61°, γ = 35.34°
Last column: nearest neighbours and their distance in Å.
Fractional positions:
Re: 0.0145 0.0145 0.9857  2 Ta 2.69, 4 Re 2.82-2.90, 3 Cd 2.92-2.93
Re: 0.4855 0.4855 0.5143  2 Ta 2.69, 4 Re 2.82-2.90, 3 Cd 2.92-2.93
Cd: 0.2500 0.2500 0.2500  4 Ta 2.84, 6 Re 2.92-2.93, 2 Cd 3.08
Ta: 0.7500 0.7500 0.7500  4 Re 2.69, 4 Cd 2.84

## Properties
* SG: No. 12
* ρ: 16.32 g/cm3
* energy: -36.2 eV for the cell shown

12.
Entry from Alexandria via LeMat-Bulk: TaCdRe2 after structural relaxation (GGA-PBE).

a = 2.7778 Å, b = 2.7778 Å, c = 8.8427 Å
α = 90.00°, β = 90.00°, γ = 90.00°
Last column: nearest neighbours and their distance in Å.
Fractional positions:
Re: 0.0000 0.0000 0.0079  4 Re 2.78, 4 Ta 2.91, 4 Cd 3.01
Re: 0.0000 0.0000 0.4921  4 Re 2.78, 4 Ta 2.91, 4 Cd 3.01
Cd: 0.5000 0.5000 0.7500  4 Cd 2.78, 8 Re 3.01
Ta: 0.5000 0.5000 0.2500  4 Ta 2.78, 8 Re 2.91

## Properties
* SG: No. 123
* ρ: 16.20 g/cm3
* energy: -35.7 eV for the cell shown

13.
Entry from Alexandria via LeMat-Bulk: TaCdRe2 after structural relaxation (GGA-PBE).

a = 3.3373 Å, b = 3.3367 Å, c = 6.2081 Å
α = 90.00°, β = 90.00°, γ = 90.00°
Last column: nearest neighbours and their distance in Å.
Fractional positions:
Re: 0.0000 0.0000 0.0312  1 Re 2.72, 4 Ta 2.72, 4 Cd 2.94
Re: 0.0000 0.0000 0.4688  1 Re 2.72, 4 Ta 2.72, 4 Cd 2.94
Cd: 0.5000 0.5000 0.7500  8 Re 2.94, 2 Ta 3.10
Ta: 0.5000 0.5000 0.2500  8 Re 2.72

## Properties
* SG: No. 123
* ρ: 15.99 g/cm3
* energy: -36.3 eV for the cell shown

14.
Entry from Alexandria via LeMat-Bulk: TaCdRe2 after structural relaxation (GGA-PBE).

a = 7.4243 Å, b = 7.4243 Å, c = 5.9182 Å
α = 51.15°, β = 51.15°, γ = 90.00°
Last column: nearest neighbours and their distance in Å.
Fractional positions:
Re: 0.6522 0.1250 0.2500  2 Ta 2.58, 2 Re 2.76, 2 Cd 2.85
Re: 0.0978 0.6250 0.2500  2 Ta 2.58, 2 Re 2.76, 2 Cd 2.85
Re: 0.3750 0.3478 0.7500  2 Ta 2.58, 2 Re 2.76, 2 Cd 2.85
Re: 0.8750 0.9022 0.7500  2 Ta 2.58, 2 Re 2.76, 2 Cd 2.85
Cd: 0.5000 0.5000 0.0000  2 Ta 2.73, 4 Re 2.85
Cd: 0.2500 0.7500 0.5000  2 Ta 2.73, 4 Re 2.85
Ta: 0.0000 0.0000 0.0000  4 Re 2.58, 2 Cd 2.73
Ta: 0.7500 0.2500 0.5000  4 Re 2.58, 2 Cd 2.73

## Properties
* SG: No. 122
* ρ: 14.68 g/cm3
* energy: -66.7 eV for the cell shown

15.
Entry from Alexandria via LeMat-Bulk: TaCd2Re after structural relaxation (GGA-PBE).

a = 3.5955 Å, b = 3.5955 Å, c = 5.6383 Å
α = 90.00°, β = 90.00°, γ = 90.00°
Last column: nearest neighbours and their distance in Å.
Fractional positions:
Re: 0.5000 0.5000 0.2500  2 Ta 2.82, 8 Cd 2.89
Cd: 0.0000 0.0000 0.0061  2 Cd 2.75-2.89, 4 Re 2.89, 4 Ta 2.92
Cd: 0.0000 0.0000 0.4939  2 Cd 2.75-2.89, 4 Re 2.89, 4 Ta 2.92
Ta: 0.5000 0.5000 0.7500  2 Re 2.82, 8 Cd 2.92

## Properties
* SG: No. 123
* ρ: 13.49 g/cm3
* energy: -23.1 eV for the cell shown

16.
Entry from Alexandria via LeMat-Bulk: TaCdRe2 after structural relaxation (GGA-PBE).

a = 9.9852 Å, b = 9.9852 Å, c = 9.9852 Å
α = 16.25°, β = 16.25°, γ = 16.25°
Last column: nearest neighbours and their distance in Å.
Fractional positions:
Re: 0.9979 0.9979 0.9979  6 Re 2.82, 3 Ta 2.90, 3 Cd 3.01
Re: 0.5021 0.5021 0.5021  6 Re 2.82, 3 Ta 2.90, 3 Cd 3.01
Cd: 0.7500 0.7500 0.7500  6 Cd 2.82, 6 Re 3.01
Ta: 0.2500 0.2500 0.2500  6 Ta 2.82, 6 Re 2.90

## Properties
* SG: No. 166
* ρ: 16.27 g/cm3
* energy: -36.0 eV for the cell shown

17.
Entry from Alexandria via LeMat-Bulk: Ta2CdRe after structural relaxation (GGA-PBE).

a = 4.6709 Å, b = 4.6709 Å, c = 3.2722 Å
α = 90.00°, β = 90.00°, γ = 99.85°
Last column: nearest neighbours and their distance in Å.
Fractional positions:
Re: 0.0000 0.5000 0.5000  8 Ta 2.85, 2 Cd 3.01
Cd: 0.5000 0.0000 0.5000  8 Ta 2.85, 2 Re 3.01
Ta: 0.0000 0.0000 0.0000  4 Re 2.85, 4 Cd 2.85, 2 Ta 3.01
Ta: 0.5000 0.5000 0.0000  4 Cd 2.85, 4 Re 2.85, 2 Ta 3.01

## Properties
* SG: No. 65
* ρ: 15.59 g/cm3
* energy: -36.2 eV for the cell shown

18.
Entry from Alexandria via LeMat-Bulk: TaCd2Re after structural relaxation (GGA-PBE).

a = 2.8971 Å, b = 2.8971 Å, c = 9.7958 Å
α = 90.00°, β = 90.00°, γ = 112.44°
Last column: nearest neighbours and their distance in Å.
Fractional positions:
Re: 0.0000 0.0000 0.5194  2 Ta 2.59
Cd: 0.0000 0.0000 0.9872  8 Cd 2.90-3.22, 2 Ta 3.02
Cd: 0.5000 0.5000 0.2675  8 Cd 2.90-3.22, 2 Re 2.95
Ta: 0.5000 0.5000 0.7259  2 Re 2.59

## Properties
* SG: No. 35
* ρ: 12.94 g/cm3
* energy: -25.3 eV for the cell shown

19.
Entry from Alexandria via LeMat-Bulk: Ta2CdRe after structural relaxation (GGA-PBE).

a = 2.7269 Å, b = 4.5450 Å, c = 5.7602 Å
α = 90.00°, β = 90.00°, γ = 90.00°
Last column: nearest neighbours and their distance in Å.
Fractional positions:
Re: 0.5000 0.5000 0.7669  2 Re 2.73, 6 Ta 2.77-2.99
Cd: 0.0000 0.0000 0.4970  2 Cd 2.73, 6 Ta 2.83-3.01
Ta: 0.0000 0.0000 0.9878  6 Ta 2.73-3.05, 2 Cd 2.83-2.93, 4 Re 2.94
Ta: 0.5000 0.5000 0.2482  6 Ta 2.73-3.05, 2 Re 2.77-2.99, 4 Cd 3.01

## Properties
* SG: No. 25
* ρ: 15.36 g/cm3
* energy: -35.8 eV for the cell shown

20.
Entry from Alexandria via LeMat-Bulk: Ta3CdRe after structural relaxation (GGA-PBE).

a = 4.8436 Å, b = 4.8436 Å, c = 4.8436 Å
α = 90.00°, β = 90.00°, γ = 90.00°
Last column: nearest neighbours and their distance in Å.
Fractional positions:
Re: 0.5000 0.5000 0.5000  12 Ta 3.42
Cd: 0.0000 0.0000 0.0000  6 Ta 2.42
Ta: 0.0000 0.5000 0.0000  2 Cd 2.42
Ta: 0.0000 0.0000 0.5000  2 Cd 2.42
Ta: 0.5000 0.0000 0.0000  2 Cd 2.42

## Properties
* SG: No. 221
* ρ: 12.30 g/cm3
* energy: -35.7 eV for the cell shown